First-principles (PBE with a Hubbard U) data for a relaxed structure of HfFeF5, as listed in Alexandria via LeMat-Bulk.

It has space group C2/c (No. 15), with a = 9.365 Å, b = 5.833 Å, c = 8.657 Å, α = 90.00°, β = 120.69° and γ = 90.00°. The asymmetric unit holds Hf at (0.000, 0.000, 0.000), Fe at (0.000, 0.441, 0.250), F at (0.000, 0.052, 0.250), F at (0.060, 0.318, 0.947) and F at (0.243, 0.072, 0.650).

The calculation puts the density of states at the Fermi level at 0.161 states/eV/atom. The density comes out at 5.38 g/cm³. The value obtained for the magnetic moment is 3.0 μB/f.u. The total DFT energy (no corrections) comes out at -6.45 eV/atom.